Material: CeHo4Tm6
Method: DFT, PBE-GGA
State: optimized geometry

Calculated values
Total magnetic moment, μB/f.u.: 0.720
E_form, kJ/mol of formula units: 149
Energy relative to the lowest polymorph listed for this composition, eV per atom: 0.000

a b c (Å): 5.553 5.553 25.375
angles (deg): 90.00 90.00 119.87
Sites, in units of the cell vectors:
Ce: 0.169 0.831 0.750
Ce: 0.831 0.169 0.250
Ho: 0.166 0.834 0.041
Ho: 0.166 0.834 0.459
Ho: 0.498 0.502 0.122
Ho: 0.498 0.502 0.378
Ho: 0.502 0.498 0.622
Ho: 0.502 0.498 0.878
Ho: 0.834 0.166 0.541
Ho: 0.834 0.166 0.959
Tm: 0.165 0.835 0.181
Tm: 0.165 0.835 0.319
Tm: 0.168 0.832 0.602
Tm: 0.168 0.832 0.898
Tm: 0.498 0.502 0.250
Tm: 0.500 0.500 0.000
Tm: 0.500 0.500 0.500
Tm: 0.502 0.498 0.750
Tm: 0.832 0.168 0.102
Tm: 0.832 0.168 0.398
Tm: 0.835 0.165 0.681
Tm: 0.835 0.165 0.819



Material: CeHoTm
Method: DFT, PBE-GGA
State: optimized geometry

Calculated values
Total magnetic moment, μB/f.u.: 0.835
E_form, kJ/mol of formula units: 25
Energy relative to the lowest polymorph listed for this composition, eV per atom: 0.026

a b c (Å): 3.427 5.309 10.090
angles (deg): 90.00 99.76 90.00
Sites, in units of the cell vectors:
Ce: 0.209 0.250 0.419
Ce: 0.791 0.750 0.581
Ho: 0.385 0.250 0.767
Ho: 0.615 0.750 0.233
Tm: 0.040 0.250 0.084
Tm: 0.960 0.750 0.916